Entry 1:
Density functional theory data (PBE-GGA) for crystalline SrLa2Er at its relaxed geometry.

Values from the calculation:
Total magnetic moment, μB/cell: 0.0
Calculated total energy, eV/f.u.: -15.412
Density of states at the Fermi level, states/eV/f.u.: 7.1

Lattice parameters (Å, degrees): 5.3696 5.3696 5.2928 90.00 90.00 90.00
Space group P4/mmm (No. 123)
One atom of each set of equivalent atoms:
Sr (0.0000, 0.0000, 0.0000) (multiplicity 1)
La (0.0000, 0.5000, 0.5000) (multiplicity 2)
Er (0.5000, 0.5000, 0.0000) (multiplicity 1)

***

Entry 2:
Density functional theory data (PBE-GGA) for crystalline BaY2P at its relaxed geometry.

Values from the calculation:
Total magnetic moment, μB/cell: 0.0
Calculated total energy, eV/f.u.: -22.081
Density of states at the Fermi level, states/eV/f.u.: 3.8

Lattice parameters (Å, degrees): 3.6030 3.6030 9.8094 90.00 90.00 90.00
Space group P4/mmm (No. 123)
One atom of each set of equivalent atoms:
Ba (0.0000, 0.0000, 0.0000) (multiplicity 1)
Y (0.5000, 0.5000, 0.3418) (multiplicity 2)
P (0.0000, 0.0000, 0.5000) (multiplicity 1)